## NaYNp2S4 (PBE-GGA)

Data for NaYNp2S4 after structural relaxation.

Results
Space-group type = P2/m (10)
Raw total energy = -7.797 eV per atom
Raw formation energy = -1.525 eV per atom

Cell lengths 3.945, 6.851, 6.826 Å; angles 109.42, 90.00, 90.00 degrees
Element x y z (fractional)
S 0.000 0.251 0.749
S 0.000 0.749 0.251
S 0.500 0.744 0.744
S 0.500 0.256 0.256
Y 0.500 0.500 0.000
Np 0.000 0.500 0.500
Np 0.500 0.000 0.500
Na 0.000 0.000 0.000


## Na2YNpS4 (PBE-GGA)

Data for Na2YNpS4 after structural relaxation.

Results
Space-group type = P2/m (10)
Raw total energy = -6.407 eV per atom
Raw formation energy = -1.588 eV per atom

Cell lengths 4.012, 6.949, 7.072 Å; angles 109.32, 90.00, 90.00 degrees
Element x y z (fractional)
S 0.500 0.241 0.229
S 0.500 0.759 0.771
S 0.000 0.257 0.773
S 0.000 0.743 0.227
Na 0.500 0.000 0.500
Na 0.000 0.500 0.500
Y 0.000 0.000 0.000
Np 0.500 0.500 0.000


## Na3Y3NpS8 (PBE-GGA)

Data for Na3Y3NpS8 after structural relaxation.

Results
Space-group type = R-3m (166)
Raw total energy = -6.341 eV per atom
Raw formation energy = -1.720 eV per atom

Cell lengths 7.989, 7.989, 8.146 Å; angles 119.38, 90.00, 120.00 degrees
Element x y z (fractional)
S 0.237 0.474 0.720
S 0.258 0.515 0.273
S 0.763 0.526 0.280
S 0.742 0.485 0.727
S 0.763 0.017 0.280
S 0.237 0.983 0.720
S 0.254 0.017 0.280
S 0.746 0.983 0.720
Na 0.500 0.500 0.000
Na 0.000 0.500 0.000
Na 0.000 0.000 0.000
Np 0.000 0.000 0.500
Y 0.000 0.500 0.500
Y 0.500 0.000 0.500
Y 0.500 0.500 0.500


## Na4Np3ZnS8 (PBE-GGA)

Data for Na4Np3ZnS8 after structural relaxation.

Results
Space-group type = R-3m (166)
Raw total energy = -6.117 eV per atom
Raw formation energy = -1.217 eV per atom

Cell lengths 7.911, 8.057, 7.909 Å; angles 119.39, 120.01, 90.00 degrees
Element x y z (fractional)
Np 0.500 0.500 0.500
Np 0.000 0.500 0.500
Np 0.500 0.500 0.000
Na 0.000 0.000 0.000
Na 0.000 0.000 0.500
Na 0.500 0.000 0.000
Na 0.500 0.000 0.500
S 0.236 0.721 0.472
S 0.748 0.722 0.985
S 0.764 0.279 0.528
S 0.252 0.278 0.015
S 0.237 0.722 0.985
S 0.742 0.727 0.485
S 0.258 0.273 0.515
S 0.763 0.278 0.015
Zn 0.000 0.500 0.000


## Na2NpZnS4 (PBE-GGA)

Data for Na2NpZnS4 after structural relaxation.

Results
Space-group type = P2/m (10)
Raw total energy = -5.245 eV per atom
Raw formation energy = -1.075 eV per atom

Cell lengths 3.865, 6.653, 7.077 Å; angles 109.59, 90.00, 90.00 degrees
Element x y z (fractional)
Zn 0.000 0.000 0.000
Na 0.000 0.500 0.500
Na 0.500 0.000 0.500
Np 0.500 0.500 0.000
S 0.000 0.737 0.233
S 0.500 0.775 0.795
S 0.000 0.263 0.767
S 0.500 0.225 0.205


## Na3Zr3NpS8 (PBE-GGA)

Data for Na3Zr3NpS8 after structural relaxation.

Results
Space-group type = R-3m (166)
Raw total energy = -6.503 eV per atom
Raw formation energy = -1.466 eV per atom

Cell lengths 7.483, 7.484, 8.084 Å; angles 117.58, 90.00, 120.00 degrees
Element x y z (fractional)
Zr 0.000 0.500 0.500
Zr 0.500 0.000 0.500
Zr 0.500 0.500 0.500
S 0.259 0.517 0.276
S 0.741 0.483 0.724
S 0.271 0.024 0.277
S 0.729 0.976 0.723
S 0.753 0.024 0.277
S 0.247 0.494 0.723
S 0.247 0.976 0.723
S 0.753 0.506 0.277
Np 0.000 0.000 0.500
Na 0.000 0.000 0.000
Na 0.000 0.500 0.000
Na 0.500 0.500 0.000